No. 1
The following is a PBE calculation of KAgGeSe2S after structural relaxation, from the Open Quantum Materials Database.

It has space group Cmcm (No. 63), with a = 3.768 Å, b = 14.599 Å, c = 10.793 Å, α = 90.00°, β = 90.00° and γ = 90.00°. The asymmetric unit holds K at (0.000, 0.229, 0.250), Ag at (0.000, 0.068, 0.750), Ge at (0.000, 0.500, 0.000), Se at (0.000, 0.126, 0.525) and S at (0.000, 0.453, 0.750).

The total energy is -3.593 eV/atom. As for the calculated density: 4.58 g/cm³.



No. 2
The following is a PBE calculation of KAgGeSeS2 after structural relaxation, from the Open Quantum Materials Database.

It has space group Cmcm (No. 63), with a = 3.540 Å, b = 15.603 Å, c = 10.590 Å, α = 90.00°, β = 90.00° and γ = 90.00°. The asymmetric unit holds K at (0.000, 0.221, 0.250), Ag at (0.000, 0.095, 0.750), Ge at (0.000, 0.500, 0.000), Se at (0.000, 0.455, 0.750) and S at (0.000, 0.112, 0.524).

The total energy is -3.711 eV/atom. As for the calculated density: 4.12 g/cm³.



No. 3
The following is a PBE calculation of KAgGeTe2S after structural relaxation, from the Open Quantum Materials Database.

It has space group Cmcm (No. 63), with a = 3.847 Å, b = 15.269 Å, c = 11.300 Å, α = 90.00°, β = 90.00° and γ = 90.00°. The asymmetric unit holds K at (0.000, 0.226, 0.250), Ag at (0.000, 0.050, 0.750), Ge at (0.000, 0.500, 0.000), Te at (0.000, 0.137, 0.533) and S at (0.000, 0.447, 0.750).

The total energy is -3.391 eV/atom. As for the calculated density: 5.07 g/cm³.



No. 4
The following is a PBE calculation of KAgGeSe3 after structural relaxation, from the Open Quantum Materials Database.

It has space group Cmcm (No. 63), with a = 3.723 Å, b = 15.293 Å, c = 10.942 Å, α = 90.00°, β = 90.00° and γ = 90.00°. The asymmetric unit holds K at (0.000, 0.232, 0.250), Ag at (0.000, 0.078, 0.750), Ge at (0.000, 0.500, 0.000), Se at (0.000, 0.122, 0.525) and Se at (0.000, 0.451, 0.750).

The total energy is -3.505 eV/atom. As for the calculated density: 4.87 g/cm³.